--- P ---
The following is a PBE-GGA calculation of a relaxed structure of SiPAuI, from the Alexandria database.

Summary:
**Space group**: P1, No. 1

Lattice parameters (Å, degrees): 3.8356 3.8408 7.0680 89.76 88.85 73.95
Element x y z (fractional)
Si 0.0000 0.0000 0.0000
P 0.3696 0.3945 0.0286
Au 0.1455 0.6680 0.3221
I 0.8761 0.1512 0.6016

--- Q ---
The following is a PBE-GGA calculation of a relaxed structure of SiPAuI, from the Alexandria database.

Summary:
**Space group**: Pm, No. 6

Lattice parameters (Å, degrees): 4.1460 4.1509 7.1875 90.00 95.77 90.00
Element x y z (fractional)
Si 0.0000 0.0000 0.0000
P 0.5810 0.0000 0.1802
Au 0.2947 0.5000 0.0948
I 0.8778 0.0000 0.6565

Least stable: P

--- P ---
The following is a PBE-GGA calculation of a relaxed structure of SiPAuI, from the Alexandria database.

Summary:
**Space group**: Pm, No. 6

Lattice parameters (Å, degrees): 5.1337 3.4930 6.8913 90.00 102.37 90.00
Element x y z (fractional)
Si 0.0000 0.0000 0.0000
P 0.7567 0.5000 0.8627
Au 0.2928 0.5000 0.8753
I 0.1451 0.0000 0.3739

--- Q ---
The following is a PBE-GGA calculation of a relaxed structure of SiPAuI, from the Alexandria database.

Summary:
**Space group**: P1, No. 1

Lattice parameters (Å, degrees): 4.1260 4.1491 7.0986 101.44 93.11 90.17
Element x y z (fractional)
Si 0.0000 0.0000 0.0000
P 0.4327 0.9328 0.8117
Au 0.7122 0.4649 0.9014
I 0.0959 0.1095 0.3529

--- R ---
The following is a PBE-GGA calculation of a relaxed structure of SiPAuI, from the Alexandria database.

Summary:
**Space group**: Pm, No. 6

Lattice parameters (Å, degrees): 3.6597 3.9603 6.7870 90.00 97.99 90.00
Element x y z (fractional)
Si 0.0000 0.0000 0.0000
P 0.5318 0.0000 0.2230
Au 0.9927 0.5000 0.2624
I 0.1850 0.5000 0.7127

--- S ---
The following is a PBE-GGA calculation of a relaxed structure of SiPAuI, from the Alexandria database.

Summary:
**Space group**: P1, No. 1

Lattice parameters (Å, degrees): 3.7295 3.8084 7.2894 90.40 97.28 118.88
Element x y z (fractional)
Si 0.0000 0.0000 0.0000
P 0.6319 0.3290 0.8594
Au 0.0627 0.2473 0.6254
I 0.5034 0.7790 0.3097

Least stable: R

--- P ---
The following is a PBE-GGA calculation of a relaxed structure of TePAuI2, from the Alexandria database.

Summary:
**Space group**: P4/mmm, No. 123

Lattice parameters (Å, degrees): 5.3571 5.3571 5.4345 90.00 90.00 90.00
Element x y z (fractional)
Te 0.0000 0.0000 0.0000
P 0.0000 0.0000 0.5000
Au 0.5000 0.5000 0.0000
I 0.0000 0.5000 0.5000
I 0.5000 0.0000 0.5000

--- Q ---
The following is a PBE-GGA calculation of a relaxed structure of TePAuI2, from the Alexandria database.

Summary:
**Space group**: P4/mmm, No. 123

Lattice parameters (Å, degrees): 5.5497 5.5497 5.6847 90.00 90.00 90.00
Element x y z (fractional)
Te 0.0000 0.0000 0.0000
P 0.5000 0.5000 0.0000
Au 0.0000 0.0000 0.5000
I 0.0000 0.5000 0.5000
I 0.5000 0.0000 0.5000

Least stable: Q

--- P ---
The following is a PBE-GGA calculation of a relaxed structure of PaAuI6, from the Alexandria database.

Summary:
**Space group**: C2/m, No. 12

Lattice parameters (Å, degrees): 8.1478 13.4445 7.9834 90.00 119.01 90.00
Element x y z (fractional)
Pa 0.0000 0.0000 0.0000
Pa 0.5000 0.5000 0.0000
Au 0.0000 0.0000 0.5000
Au 0.5000 0.5000 0.5000
I 0.0014 0.1615 0.7438
I 0.0014 0.8385 0.7438
I 0.0911 0.5000 0.7961
I 0.4089 0.0000 0.2039
I 0.4986 0.3385 0.2562
I 0.4986 0.6615 0.2562
I 0.5014 0.3385 0.7438
I 0.5014 0.6615 0.7438
I 0.5911 0.0000 0.7961
I 0.9089 0.5000 0.2039
I 0.9986 0.1615 0.2562
I 0.9986 0.8385 0.2562

--- Q ---
The following is a PBE-GGA calculation of a relaxed structure of PaAuI6, from the Alexandria database.

Summary:
**Space group**: P-1, No. 2

Lattice parameters (Å, degrees): 7.4818 8.0149 8.5676 115.43 93.10 116.13
Element x y z (fractional)
Pa 0.0000 0.0000 0.0000
Au 0.5000 0.0000 0.0000
I 0.0413 0.4202 0.2179
I 0.2359 0.1590 0.7840
I 0.3933 0.1678 0.2891
I 0.6067 0.8322 0.7109
I 0.7641 0.8410 0.2160
I 0.9587 0.5798 0.7821

Least stable: P

--- P ---
The following is a PBE-GGA calculation of a relaxed structure of Pa2AuI8, from the Alexandria database.

Summary:
**Space group**: C2/m, No. 12

Lattice parameters (Å, degrees): 11.4269 11.4269 6.0816 105.30 105.30 66.70
Element x y z (fractional)
Pa 0.1603 0.1603 0.1585
Pa 0.8397 0.8397 0.8415
Au 0.0000 0.0000 0.0000
I 0.0864 0.6270 0.8582
I 0.1347 0.1347 0.6332
I 0.3194 0.3194 0.3166
I 0.3730 0.9136 0.1418
I 0.6270 0.0864 0.8582
I 0.6806 0.6806 0.6834
I 0.8653 0.8653 0.3668
I 0.9136 0.3730 0.1418

--- Q ---
The following is a PBE-GGA calculation of a relaxed structure of Pa2AuI8, from the Alexandria database.

Summary:
**Space group**: C2/m, No. 12

Lattice parameters (Å, degrees): 8.5403 8.5403 9.1075 90.95 90.95 107.71
Element x y z (fractional)
Pa 0.1168 0.1168 0.2954
Pa 0.8832 0.8832 0.7046
Au 0.0000 0.0000 0.0000
I 0.1128 0.6946 0.7335
I 0.1848 0.1848 0.6224
I 0.3054 0.8872 0.2665
I 0.3918 0.3918 0.2113
I 0.6082 0.6082 0.7887
I 0.6946 0.1128 0.7335
I 0.8152 0.8152 0.3776
I 0.8872 0.3054 0.2665

Least stable: P

--- P ---
The following is a PBE-GGA calculation of a relaxed structure of PbAuI, from the Alexandria database.

Summary:
**Space group**: P2_1/m, No. 11

Lattice parameters (Å, degrees): 6.0179 4.4345 7.3674 90.00 92.58 90.00
Element x y z (fractional)
Pb 0.2500 0.2500 0.1219
Pb 0.7500 0.7500 0.8781
Au 0.2467 0.7500 0.8664
Au 0.7533 0.2500 0.1336
I 0.2569 0.2500 0.6112
I 0.7431 0.7500 0.3888

--- Q ---
The following is a PBE-GGA calculation of a relaxed structure of PbAuI, from the Alexandria database.

Summary:
**Space group**: R-3m, No. 166

Lattice parameters (Å, degrees): 11.9152 11.9152 11.9152 21.89 21.89 21.89
Element x y z (fractional)
Pb 0.0598 0.0598 0.0598
Pb 0.9402 0.9402 0.9402
Au 0.3486 0.3486 0.3486
Au 0.6514 0.6514 0.6514
I 0.2170 0.2170 0.2170
I 0.7830 0.7830 0.7830

--- R ---
The following is a PBE-GGA calculation of a relaxed structure of PbAuI, from the Alexandria database.

Summary:
**Space group**: P3m1, No. 156

Lattice parameters (Å, degrees): 4.3546 4.3546 5.7793 90.00 90.00 120.00
Element x y z (fractional)
Pb 0.0000 0.0000 0.0000
Au 0.3333 0.6667 0.2595
I 0.6667 0.3333 0.5922

Least stable: P

--- P ---
The following is a PBE-GGA calculation of a relaxed structure of PdAu2I8, from the Alexandria database.

Summary:
**Space group**: C2/m, No. 12

Lattice parameters (Å, degrees): 9.9884 9.9884 8.1771 109.41 109.41 63.89
Element x y z (fractional)
Pd 0.0000 0.0000 0.0000
Au 0.2329 0.2329 0.0092
Au 0.7671 0.7671 0.9908
I 0.0413 0.0413 0.3781
I 0.0457 0.6998 0.9297
I 0.3002 0.9543 0.0703
I 0.3629 0.3629 0.9202
I 0.6371 0.6371 0.0798
I 0.6998 0.0457 0.9297
I 0.9543 0.3002 0.0703
I 0.9587 0.9587 0.6219

--- Q ---
The following is a PBE-GGA calculation of a relaxed structure of PdAu2I8, from the Alexandria database.

Summary:
**Space group**: C2/m, No. 12

Lattice parameters (Å, degrees): 8.0174 8.0174 7.3163 101.56 101.56 73.25
Element x y z (fractional)
Pd 0.0000 0.0000 0.0000
Au 0.2183 0.2183 0.6937
Au 0.7817 0.7817 0.3063
I 0.1051 0.7199 0.1893
I 0.1903 0.1903 0.2877
I 0.2801 0.8949 0.8107
I 0.4251 0.4251 0.7171
I 0.5749 0.5749 0.2829
I 0.7199 0.1051 0.1893
I 0.8097 0.8097 0.7123
I 0.8949 0.2801 0.8107

Least stable: Q

--- P ---
The following is a PBE-GGA calculation of a relaxed structure of PdAuI3, from the Alexandria database.

Summary:
**Space group**: Cmc2_1, No. 36

Lattice parameters (Å, degrees): 10.8902 10.8902 7.7658 90.00 90.00 157.35
Element x y z (fractional)
Pd 0.1309 0.8691 0.5000
Pd 0.8691 0.1309 0.0000
Au 0.3411 0.6589 0.4635
Au 0.6589 0.3411 0.9635
I 0.1097 0.8903 0.1643
I 0.2113 0.7887 0.7668
I 0.4374 0.5626 0.0778
I 0.5626 0.4374 0.5778
I 0.7887 0.2113 0.2668
I 0.8903 0.1097 0.6643

--- Q ---
The following is a PBE-GGA calculation of a relaxed structure of PdAuI3, from the Alexandria database.

Summary:
**Space group**: Pm-3m, No. 221

Lattice parameters (Å, degrees): 5.4734 5.4734 5.4734 90.00 90.00 90.00
Element x y z (fractional)
Pd 0.0000 0.0000 0.0000
Au 0.5000 0.5000 0.5000
I 0.0000 0.0000 0.5000
I 0.0000 0.5000 0.0000
I 0.5000 0.0000 0.0000

Least stable: Q